{"formula": "Sr2Li4Si", "functional": "PBE", "state": "relaxed", "lattice": [[-1.1812, -3.4931, 3.2404], [3.1750, -3.0663, -2.1481], [6.8992, -0.6566, 5.5254]], "species": ["Sr", "Sr", "Si", "Li", "Li", "Li", "Li"], "frac_coords": [[0.6420, 0.6420, 0.7159], [0.3580, 0.3580, 0.2841], [0.0000, 0.0000, 0.0000], [0.8448, 0.8448, 0.3104], [0.1552, 0.1552, 0.6896], [0.0000, 0.5000, 0.0000], [0.5000, 0.0000, 0.0000]], "dos_at_fermi_per_ev_fu": 3.01, "formation_energy_uncorrected_ev_per_atom": -0.01}

{"formula": "SrLi3Si", "functional": "PBE", "state": "relaxed", "lattice": [[4.7642, 0.0000, 0.0000], [0.0000, 4.7642, 0.0000], [-2.3821, -2.3821, 12.3100]], "species": ["Sr", "Sr", "Li", "Li", "Li", "Li", "Li", "Li", "Si", "Si"], "frac_coords": [[0.0000, 0.0000, 0.0000], [0.2500, 0.7500, 0.5000], [0.6394, 0.8765, 0.7530], [0.1235, 0.8865, 0.2470], [0.1235, 0.3606, 0.2470], [0.1135, 0.8765, 0.7530], [0.4297, 0.4297, 0.8594], [0.5703, 0.5703, 0.1406], [0.5978, 0.0978, 0.1956], [0.9022, 0.4022, 0.8044]], "relative_energy_mev_per_atom": 250, "dos_at_fermi_per_ev_fu": 1.67, "formation_energy_uncorrected_ev_per_atom": 0.10}

{"formula": "Sr2Li2Si", "functional": "PBE", "state": "relaxed", "lattice": [[4.2578, 0.0000, 1.2223], [1.9535, 3.7833, 1.2223], [-0.4164, -0.2536, 9.4777]], "species": ["Sr", "Sr", "Li", "Li", "Si"], "frac_coords": [[0.4254, 0.4254, 0.7238], [0.5746, 0.5746, 0.2762], [0.6839, 0.6839, 0.9484], [0.3161, 0.3161, 0.0516], [0.0000, 0.0000, 0.0000]], "relative_energy_mev_per_atom": 0, "dos_at_fermi_per_ev_fu": 2.32, "formation_energy_uncorrected_ev_per_atom": -0.14}

{"formula": "SrLi3Si", "functional": "PBE", "state": "relaxed", "lattice": [[5.3272, 0.0000, 0.0000], [0.0000, 5.3272, 0.0000], [0.0000, 0.0000, 5.3272]], "species": ["Sr", "Si", "Li", "Li", "Li"], "frac_coords": [[0.0000, 0.0000, 0.0000], [0.5000, 0.5000, 0.5000], [0.0000, 0.5000, 0.0000], [0.0000, 0.0000, 0.5000], [0.5000, 0.0000, 0.0000]], "relative_energy_mev_per_atom": 1333, "dos_at_fermi_per_ev_fu": 2.53, "formation_energy_uncorrected_ev_per_atom": 1.18}

{"formula": "SrLi2Si2", "functional": "PBE", "state": "relaxed", "lattice": [[-4.3277, 0.4069, -0.3010], [-0.2563, -3.9965, -1.7169], [-2.8528, -3.9629, 4.1215]], "species": ["Sr", "Si", "Si", "Li", "Li"], "frac_coords": [[0.0000, 0.0000, 0.0000], [0.3973, 0.3973, 0.2054], [0.6027, 0.6027, 0.7946], [0.7500, 0.2500, 0.5000], [0.2500, 0.7500, 0.5000]], "relative_energy_mev_per_atom": 0, "dos_at_fermi_per_ev_fu": 2.26, "formation_energy_uncorrected_ev_per_atom": -0.31}

{"formula": "SrLiSi3", "functional": "PBE", "state": "relaxed", "lattice": [[-4.4098, -1.4866, -3.1229], [-2.2038, -2.6923, 4.3936], [-2.6657, 4.6851, 1.5339]], "species": ["Sr", "Si", "Si", "Si", "Li"], "frac_coords": [[0.0000, 0.0000, 0.0000], [0.0000, 0.5000, 0.0000], [0.0000, 0.0000, 0.5000], [0.5000, 0.0000, 0.0000], [0.5000, 0.5000, 0.5000]], "relative_energy_mev_per_atom": 1661, "dos_at_fermi_per_ev_fu": 7.22, "formation_energy_uncorrected_ev_per_atom": 1.42}

{"formula": "SrLi3Si", "functional": "PBE", "state": "relaxed", "lattice": [[-2.3436, 0.4309, 4.2787], [-0.1145, -4.8774, 0.4285], [4.2989, 0.1050, 2.3441]], "species": ["Sr", "Si", "Li", "Li", "Li"], "frac_coords": [[0.5000, 0.5000, 0.5000], [0.0000, 0.0000, 0.0000], [0.0000, 0.5000, 0.0000], [0.0000, 0.0000, 0.5000], [0.5000, 0.0000, 0.0000]], "relative_energy_mev_per_atom": 36, "dos_at_fermi_per_ev_fu": 1.71, "formation_energy_uncorrected_ev_per_atom": -0.12}

{"formula": "SrLiSi3", "functional": "PBE", "state": "relaxed", "lattice": [[-0.9499, 4.5450, 0.2973], [-0.3850, 0.2225, -4.6314], [-4.5384, -0.9702, 0.3306]], "species": ["Sr", "Si", "Si", "Si", "Li"], "frac_coords": [[0.5000, 0.5000, 0.5000], [0.0000, 0.5000, 0.0000], [0.0000, 0.0000, 0.5000], [0.5000, 0.0000, 0.0000], [0.0000, 0.0000, 0.0000]], "relative_energy_mev_per_atom": 531, "dos_at_fermi_per_ev_fu": 3.05, "formation_energy_uncorrected_ev_per_atom": 0.29}

{"formula": "Sr3LiSi2", "functional": "PBE", "state": "relaxed", "lattice": [[7.4849, 0.0000, -3.7192], [0.0000, 10.4282, 0.0000], [-1.6473, 0.0000, 10.3110]], "species": ["Sr", "Sr", "Sr", "Sr", "Sr", "Sr", "Sr", "Sr", "Sr", "Sr", "Sr", "Sr", "Li", "Li", "Li", "Li", "Si", "Si", "Si", "Si", "Si", "Si", "Si", "Si"], "frac_coords": [[0.2792, 0.9489, 0.0740], [0.2208, 0.4489, 0.4260], [0.7208, 0.0511, 0.9260], [0.7792, 0.5511, 0.5740], [0.2791, 0.5511, 0.0739], [0.2209, 0.0511, 0.4261], [0.7209, 0.4489, 0.9261], [0.7791, 0.9489, 0.5739], [0.9317, 0.7500, 0.1884], [0.5683, 0.2500, 0.3116], [0.0683, 0.2500, 0.8116], [0.4317, 0.7500, 0.6884], [0.6460, 0.7500, 0.2856], [0.8540, 0.2500, 0.2144], [0.3540, 0.2500, 0.7144], [0.1460, 0.7500, 0.7856], [0.7500, 0.0000, 0.2500], [0.7500, 0.5000, 0.2500], [0.2500, 0.0000, 0.7500], [0.2500, 0.5000, 0.7500], [0.3940, 0.7499, 0.3691], [0.1060, 0.2499, 0.1309], [0.6060, 0.2501, 0.6309], [0.8940, 0.7501, 0.8691]], "dos_at_fermi_per_ev_fu": 1.99, "formation_energy_uncorrected_ev_per_atom": -0.24}

{"formula": "Sr2Li2Si", "functional": "PBE", "state": "relaxed", "lattice": [[-1.3343, 0.7325, -7.1178], [-0.0726, -7.2415, -0.7316], [-4.9633, -0.0438, 0.9259]], "species": ["Sr", "Sr", "Sr", "Sr", "Si", "Si", "Li", "Li", "Li", "Li"], "frac_coords": [[0.2004, 0.7004, 0.5000], [0.7004, 0.7996, 0.5000], [0.7996, 0.2996, 0.5000], [0.2996, 0.2004, 0.5000], [0.0000, 0.0000, 0.0000], [0.5000, 0.5000, 0.0000], [0.3644, 0.8644, 0.0000], [0.8644, 0.6356, 0.0000], [0.6356, 0.1356, 0.0000], [0.1356, 0.3644, 0.0000]], "relative_energy_mev_per_atom": 85, "dos_at_fermi_per_ev_fu": 2.33, "formation_energy_uncorrected_ev_per_atom": -0.06}

{"formula": "SrLi3Si3", "functional": "PBE", "state": "relaxed", "lattice": [[3.8291, 0.0000, 0.0000], [0.0000, 8.6386, -4.9325], [0.0000, -0.0483, 9.9482]], "species": ["Sr", "Sr", "Li", "Li", "Li", "Li", "Li", "Li", "Si", "Si", "Si", "Si", "Si", "Si"], "frac_coords": [[0.7500, 0.3334, 0.6667], [0.2500, 0.6666, 0.3333], [0.7500, 0.7591, 0.1038], [0.7500, 0.3447, 0.2409], [0.7500, 0.8962, 0.6553], [0.2500, 0.2409, 0.8962], [0.2500, 0.6553, 0.7591], [0.2500, 0.1038, 0.3447], [0.7500, 0.9560, 0.4162], [0.7500, 0.4602, 0.0440], [0.7500, 0.5838, 0.5397], [0.2500, 0.0440, 0.5838], [0.2500, 0.5398, 0.9560], [0.2500, 0.4162, 0.4603]], "dos_at_fermi_per_ev_fu": 2.54, "formation_energy_uncorrected_ev_per_atom": -0.27}

{"formula": "SrLi4Si2", "functional": "PBE", "state": "relaxed", "lattice": [[4.6220, 0.0000, 0.0000], [0.0000, 4.4139, -1.3109], [0.0000, -0.3731, 6.8300]], "species": ["Sr", "Li", "Li", "Li", "Li", "Si", "Si"], "frac_coords": [[0.0000, 0.0000, 0.0000], [0.5000, 0.8021, 0.6042], [0.0000, 0.6828, 0.3657], [0.5000, 0.1979, 0.3958], [0.0000, 0.3172, 0.6343], [0.5000, 0.5919, 0.1837], [0.5000, 0.4081, 0.8163]], "dos_at_fermi_per_ev_fu": 2.95, "formation_energy_uncorrected_ev_per_atom": -0.23}

{"formula": "Sr3Li2Si4", "functional": "PBE", "state": "relaxed", "lattice": [[4.1700, 0.0000, 0.0000], [-2.0850, 5.8728, -1.2251], [0.0000, 0.3465, 8.9394]], "species": ["Sr", "Sr", "Sr", "Li", "Li", "Si", "Si", "Si", "Si"], "frac_coords": [[0.6624, 0.3248, 0.6692], [0.0000, 0.0000, 0.0000], [0.3376, 0.6752, 0.3308], [0.6149, 0.2297, 0.2806], [0.3851, 0.7703, 0.7194], [0.7194, 0.4388, 0.0549], [0.2806, 0.5612, 0.9451], [0.9481, 0.8961, 0.5983], [0.0519, 0.1039, 0.4017]], "dos_at_fermi_per_ev_fu": 6.11, "formation_energy_uncorrected_ev_per_atom": -0.35}

{"formula": "SrLiSi2Tc", "functional": "PBE", "state": "relaxed", "lattice": [[4.6432, 0.0000, 0.0000], [0.0000, 4.6432, 0.0000], [0.0000, 0.0000, 4.9197]], "species": ["Sr", "Si", "Si", "Tc", "Li"], "frac_coords": [[0.5000, 0.5000, 0.5000], [0.0000, 0.5000, 0.0000], [0.5000, 0.0000, 0.0000], [0.0000, 0.0000, 0.0000], [0.0000, 0.0000, 0.5000]], "dos_at_fermi_per_ev_fu": 1.38, "formation_energy_uncorrected_ev_per_atom": -0.19}

{"formula": "SrLi2SiTe4", "functional": "PBE", "state": "relaxed", "lattice": [[-2.7284, 7.0809, -4.4394], [-1.3115, -5.1097, -7.0145], [-3.2248, -2.2130, 8.7015]], "species": ["Sr", "Sr", "Li", "Li", "Li", "Li", "Si", "Si", "Te", "Te", "Te", "Te", "Te", "Te", "Te", "Te"], "frac_coords": [[0.0002, 0.5010, 0.9858], [0.0003, 0.5011, 0.5155], [0.5009, 0.9995, 0.0055], [0.5005, 0.9991, 0.4945], [0.0149, 0.0158, 0.5153], [0.4872, 0.4820, 0.9845], [0.4671, 0.5380, 0.5025], [0.9613, 0.0326, 0.9970], [0.3255, 0.7491, 0.0373], [0.7477, 0.1779, 0.4629], [0.2669, 0.7661, 0.5164], [0.7348, 0.2342, 0.9846], [0.7375, 0.7629, 0.9551], [0.7375, 0.7629, 0.5453], [0.2589, 0.2388, 0.4519], [0.2589, 0.2389, 0.0459]], "dos_at_fermi_per_ev_fu": 4.33, "formation_energy_uncorrected_ev_per_atom": -0.64}

{"formula": "Sr2LiZn4Si3", "functional": "PBE", "state": "relaxed", "lattice": [[-2.2017, 1.0804, 3.4921], [2.1535, -2.9107, 2.2583], [7.4408, 7.3747, 2.4098]], "species": ["Sr", "Sr", "Li", "Zn", "Zn", "Zn", "Zn", "Si", "Si", "Si"], "frac_coords": [[0.5000, 0.0000, 0.2447], [0.0000, 0.5000, 0.7553], [0.5000, 0.5000, 0.5000], [0.5000, 0.5000, 0.0000], [0.0000, 0.0000, 0.0000], [0.5000, 0.0000, 0.6311], [0.0000, 0.5000, 0.3689], [0.0000, 0.0000, 0.5000], [0.5000, 0.0000, 0.8645], [0.0000, 0.5000, 0.1355]], "dos_at_fermi_per_ev_fu": 3.76, "formation_energy_uncorrected_ev_per_atom": -0.30}

{"formula": "SrLiZnSi2", "functional": "PBE", "state": "relaxed", "lattice": [[-0.2461, 3.7176, -2.1710], [-2.9103, 1.4587, 2.8278], [5.4489, -0.6034, 2.6315]], "species": ["Sr", "Li", "Zn", "Si", "Si"], "frac_coords": [[0.0000, 0.0000, 0.0000], [0.7500, 0.2500, 0.5000], [0.2500, 0.7500, 0.5000], [0.6125, 0.6125, 0.2250], [0.3875, 0.3875, 0.7750]], "dos_at_fermi_per_ev_fu": 1.15, "formation_energy_uncorrected_ev_per_atom": -0.36}

{"formula": "LiTaSi3", "functional": "PBE", "state": "relaxed", "lattice": [[-3.5375, 0.2776, -3.3802], [0.6108, -4.7523, -1.0295], [-3.3362, -1.1644, 3.3958]], "species": ["Si", "Si", "Si", "Li", "Ta"], "frac_coords": [[0.0000, 0.5000, 0.0000], [0.0000, 0.0000, 0.5000], [0.5000, 0.0000, 0.0000], [0.5000, 0.5000, 0.5000], [0.0000, 0.0000, 0.0000]], "relative_energy_mev_per_atom": 0, "dos_at_fermi_per_ev_fu": 2.47, "formation_energy_uncorrected_ev_per_atom": 0.42}

{"formula": "LiTa3Si", "functional": "PBE", "state": "relaxed", "lattice": [[4.6915, 0.0000, 0.0000], [0.0000, 4.6915, 0.0000], [0.0000, 0.0000, 4.6915]], "species": ["Si", "Li", "Ta", "Ta", "Ta"], "frac_coords": [[0.0000, 0.0000, 0.0000], [0.5000, 0.5000, 0.5000], [0.0000, 0.5000, 0.0000], [0.0000, 0.0000, 0.5000], [0.5000, 0.0000, 0.0000]], "relative_energy_mev_per_atom": 0, "dos_at_fermi_per_ev_fu": 0.40, "formation_energy_uncorrected_ev_per_atom": 0.90}

{"formula": "LiTaSi4", "functional": "PBE", "state": "relaxed", "lattice": [[0.0000, 3.4699, 3.4699], [3.4699, 0.0000, 3.4699], [3.4699, 3.4699, 0.0000]], "species": ["Li", "Ta", "Si", "Si", "Si", "Si"], "frac_coords": [[0.0000, 0.0000, 0.0000], [0.7500, 0.7500, 0.7500], [0.8732, 0.3756, 0.3756], [0.3756, 0.3756, 0.8732], [0.3756, 0.8732, 0.3756], [0.3756, 0.3756, 0.3756]], "dos_at_fermi_per_ev_fu": 1.67, "formation_energy_uncorrected_ev_per_atom": 0.11}